TbNd3Tm6 | GGA-PBE | relaxed

abc: 12.9704 3.5105 14.2396
angles: 90.00 100.18 90.00
Space group P2_1/m (No. 11)
Inequivalent atoms, fractional coordinates:
1 Tb 0.0412 0.2500 0.2203 (multiplicity 2)
2 Nd 0.0745 0.2500 0.6013 (multiplicity 2)
3 Nd 0.3714 0.7500 0.9957 (multiplicity 2)
4 Nd 0.4209 0.2500 0.4018 (multiplicity 2)
5 Tm 0.1184 0.2500 0.9853 (multiplicity 2)
6 Tm 0.1935 0.7500 0.4252 (multiplicity 2)
7 Tm 0.2200 0.7500 0.7869 (multiplicity 2)
8 Tm 0.2693 0.7500 0.1999 (multiplicity 2)
9 Tm 0.3449 0.2500 0.6229 (multiplicity 2)
10 Tm 0.5005 0.2500 0.1910 (multiplicity 2)

Calculated values
The calculation puts the density of states at the Fermi level at 1.463 states/eV per atom. Its distance to the lowest polymorph of the same formula is 0 meV/atom. For the calculated formation energy, the calculation gives 0.0679 eV/atom.

Ac2Re3O10 | GGA-PBE | relaxed

abc: 18.2828 5.8069 7.7218
angles: 90.00 112.53 90.00
Space group C2/m (No. 12)
Inequivalent atoms, fractional coordinates:
1 Ac 0.1149 0.0000 0.2155 (multiplicity 4)
2 Ac 0.2090 0.0000 0.8348 (multiplicity 4)
3 Re 0.0000 0.2136 0.5000 (multiplicity 4)
4 Re 0.0684 0.5000 0.9776 (multiplicity 4)
5 Re 0.1811 0.5000 0.5183 (multiplicity 4)
6 O 0.0000 0.2346 0.0000 (multiplicity 4)
7 O 0.0221 0.5000 0.6895 (multiplicity 4)
8 O 0.0240 0.0000 0.7156 (multiplicity 4)
9 O 0.1122 0.2403 0.5321 (multiplicity 8)
10 O 0.1212 0.5000 0.2474 (multiplicity 4)
11 O 0.1491 0.2673 0.9868 (multiplicity 8)
12 O 0.2341 0.5000 0.7805 (multiplicity 4)
13 O 0.2500 0.2500 0.5000 (multiplicity 4)

Calculated values
The value obtained for the uncorrected formation energy is -2.149 eV/atom. The calculation puts the density of states at the Fermi level at 0.350 states/eV per atom.

Pm3PrSb3 | GGA-PBE | relaxed

abc: 9.4823 9.4823 9.4823
angles: 90.00 90.00 90.00
Space group P2_13 (No. 198)
Inequivalent atoms, fractional coordinates:
1 Pm 0.0718 0.4282 0.5718 (multiplicity 4)
2 Pm 0.1797 0.1797 0.1797 (multiplicity 4)
3 Pm 0.1803 0.8197 0.3197 (multiplicity 4)
4 Pr 0.0701 0.5701 0.9299 (multiplicity 4)
5 Sb 0.0006 0.7477 0.6233 (multiplicity 12)

Calculated values
The value obtained for the uncorrected formation energy is -1.061 eV/atom. The calculation puts the density of states at the Fermi level at 1.006 states/eV per atom. Its distance to the lowest polymorph of the same formula is 0 meV/atom.

Zr2Re3Tc | GGA-PBE | relaxed

abc: 9.1156 5.2808 5.3368
angles: 90.00 125.03 90.00
Space group C2/m (No. 12)
Inequivalent atoms, fractional coordinates:
1 Zr 0.1244 0.0000 0.3730 (multiplicity 4)
2 Re 0.0000 0.5000 0.0000 (multiplicity 2)
3 Re 0.2500 0.2500 0.0000 (multiplicity 4)
4 Tc 0.0000 0.5000 0.5000 (multiplicity 2)

Calculated values
The calculation puts the density of states at the Fermi level at 1.257 states/eV per atom. For the calculated formation energy, the calculation gives -0.3145 eV/atom.

ErNiRh | GGA-PBE | relaxed

abc: 5.0066 5.3968 7.2983
angles: 90.00 90.00 90.00
Space group Imma (No. 74)
Inequivalent atoms, fractional coordinates:
1 Er 0.0000 0.2500 0.1202 (multiplicity 4)
2 Ni 0.2500 0.2500 0.7500 (multiplicity 4)
3 Rh 0.0000 0.0000 0.5000 (multiplicity 4)

Calculated values
The calculation puts the density of states at the Fermi level at 1.023 states/eV per atom. For the calculated formation energy, the calculation gives -0.6484 eV/atom.

GdErHg | GGA-PBE | relaxed

abc: 7.2090 7.2090 7.2090
angles: 90.00 90.00 90.00
Space group F-43m (No. 216)
Inequivalent atoms, fractional coordinates:
1 Gd 0.0000 0.0000 0.0000 (multiplicity 4)
2 Er 0.0000 0.0000 0.5000 (multiplicity 4)
3 Hg 0.2500 0.2500 0.2500 (multiplicity 4)

Calculated values
The calculation puts the density of states at the Fermi level at 1.523 states/eV per atom. Its distance to the lowest polymorph of the same formula is 200 meV/atom. For the calculated formation energy, the calculation gives -0.1215 eV/atom.

Ba2MgInO | GGA-PBE | relaxed

abc: 5.8311 5.8311 4.2853
angles: 90.00 90.00 90.00
Space group P4/mmm (No. 123)
Inequivalent atoms, fractional coordinates:
1 Ba 0.0000 0.5000 0.0000 (multiplicity 2)
2 Mg 0.0000 0.0000 0.5000 (multiplicity 1)
3 In 0.5000 0.5000 0.5000 (multiplicity 1)
4 O 0.0000 0.0000 0.0000 (multiplicity 1)

Calculated values
The value obtained for the uncorrected formation energy is -1.063 eV/atom. The calculation puts the density of states at the Fermi level at 0.633 states/eV per atom.

LaCePu2S4 | GGA-PBE | relaxed

abc: 6.9710 4.0158 6.9838
angles: 90.00 109.30 90.00
Space group P2/m (No. 10)
Inequivalent atoms, fractional coordinates:
1 La 0.0000 0.0000 0.0000 (multiplicity 1)
2 Ce 0.5000 0.5000 0.0000 (multiplicity 1)
3 Pu 0.0000 0.5000 0.5000 (multiplicity 1)
4 Pu 0.5000 0.0000 0.5000 (multiplicity 1)
5 S 0.2502 0.0000 0.7389 (multiplicity 2)
6 S 0.2585 0.5000 0.2635 (multiplicity 2)

Calculated values
The value obtained for the uncorrected formation energy is -1.934 eV/atom. The calculation puts the density of states at the Fermi level at 2.127 states/eV per atom.

K2NaCdAg | GGA-PBE | relaxed

abc: 6.3914 6.3914 5.5032
angles: 90.00 90.00 90.00
Space group P4/mmm (No. 123)
Inequivalent atoms, fractional coordinates:
1 K 0.0000 0.5000 0.0000 (multiplicity 2)
2 Na 0.0000 0.0000 0.5000 (multiplicity 1)
3 Cd 0.5000 0.5000 0.5000 (multiplicity 1)
4 Ag 0.5000 0.5000 0.0000 (multiplicity 1)

Calculated values
The calculation puts the density of states at the Fermi level at 0.372 states/eV per atom. Its distance to the lowest polymorph of the same formula is 0 meV/atom. For the calculated formation energy, the calculation gives 0.0673 eV/atom.

SrSmSe2 | GGA-PBE | relaxed

abc: 4.2238 4.2238 14.5537
angles: 90.00 90.00 120.00
Space group P6_3/mmc (No. 194)
Inequivalent atoms, fractional coordinates:
1 Sr 0.3333 0.6667 0.2500 (multiplicity 2)
2 Sm 0.0000 0.0000 0.0000 (multiplicity 2)
3 Se 0.3333 0.6667 0.6168 (multiplicity 4)

Calculated values
The value obtained for the uncorrected formation energy is -1.882 eV/atom. The calculation puts the density of states at the Fermi level at 0.313 states/eV per atom. Its distance to the lowest polymorph of the same formula is 29 meV/atom.

Pm14TmAl | GGA-PBE | relaxed

abc: 10.1703 10.1460 10.1459
angles: 90.00 90.00 90.00
Space group Amm2 (No. 38)
Inequivalent atoms, fractional coordinates:
1 Pm 0.0000 0.0000 0.0000 (multiplicity 2)
2 Pm 0.0000 0.0000 0.5000 (multiplicity 2)
3 Pm 0.0000 0.2494 0.2500 (multiplicity 4)
4 Pm 0.2571 0.0000 0.7541 (multiplicity 4)
5 Pm 0.2579 0.2459 0.0001 (multiplicity 8)
6 Pm 0.2586 0.0000 0.2459 (multiplicity 4)
7 Pm 0.5000 0.2490 0.7504 (multiplicity 4)
8 Tm 0.5000 0.0000 0.5001 (multiplicity 2)
9 Al 0.5000 0.0000 0.9998 (multiplicity 2)

Calculated values
The calculation puts the density of states at the Fermi level at 1.320 states/eV per atom. For the calculated formation energy, the calculation gives -0.0069 eV/atom.

In3HgI3 | GGA-PBE | relaxed

abc: 10.3556 10.3556 6.8780
angles: 90.00 90.00 120.00
Space group P6_3/m (No. 176)
Inequivalent atoms, fractional coordinates:
1 In 0.0338 0.6775 0.2500 (multiplicity 6)
2 Hg 0.3333 0.6667 0.2500 (multiplicity 2)
3 I 0.0638 0.6893 0.7500 (multiplicity 6)

Calculated values
The value obtained for the uncorrected formation energy is -0.362 eV/atom. The calculation puts the density of states at the Fermi level at 0.000 states/eV per atom. Its distance to the lowest polymorph of the same formula is 5 meV/atom.

Repeat the first record exactly.
TbNd3Tm6 | GGA-PBE | relaxed

abc: 12.9704 3.5105 14.2396
angles: 90.00 100.18 90.00
Space group P2_1/m (No. 11)
Inequivalent atoms, fractional coordinates:
1 Tb 0.0412 0.2500 0.2203 (multiplicity 2)
2 Nd 0.0745 0.2500 0.6013 (multiplicity 2)
3 Nd 0.3714 0.7500 0.9957 (multiplicity 2)
4 Nd 0.4209 0.2500 0.4018 (multiplicity 2)
5 Tm 0.1184 0.2500 0.9853 (multiplicity 2)
6 Tm 0.1935 0.7500 0.4252 (multiplicity 2)
7 Tm 0.2200 0.7500 0.7869 (multiplicity 2)
8 Tm 0.2693 0.7500 0.1999 (multiplicity 2)
9 Tm 0.3449 0.2500 0.6229 (multiplicity 2)
10 Tm 0.5005 0.2500 0.1910 (multiplicity 2)

Calculated values
The calculation puts the density of states at the Fermi level at 1.463 states/eV per atom. Its distance to the lowest polymorph of the same formula is 0 meV/atom. For the calculated formation energy, the calculation gives 0.0679 eV/atom.